a | Compound: ErPuS3
Source: Alexandria via LeMat-Bulk
Functional: PBE
Structure: relaxed

Lattice parameters (Å, degrees): 7.1407 7.1407 7.1407 136.18 85.64 110.77
With the nearest neighbours (Å) after each atom.
Element x y z (fractional)
Er 0.3019 0.0519 0.2500  5 S 2.64-2.79
Er 0.6981 0.9481 0.7500  5 S 2.64-2.79
Pu 0.0000 0.5000 0.5000  8 S 2.75-3.03
Pu 0.5000 0.5000 0.0000  8 S 2.75-3.03
S 0.1021 0.1614 0.9407  1 Er 2.64, 1 Pu 2.82, 1 S 2.90
S 0.2794 0.8386 0.4407  1 Er 2.64, 1 Pu 2.82, 1 S 2.90
S 0.3544 0.6044 0.7500  3 Er 2.70-2.79, 2 Pu 2.75
S 0.6456 0.3956 0.2500  3 Er 2.70-2.79, 2 Pu 2.75
S 0.7206 0.1614 0.5593  1 Er 2.64, 1 Pu 2.82, 1 S 2.90
S 0.8979 0.8386 0.0593  1 Er 2.64, 1 Pu 2.82, 1 S 2.90

=====

b | Compound: ErPuS3
Source: Alexandria via LeMat-Bulk
Functional: PBE
Structure: relaxed

Lattice parameters (Å, degrees): 7.2827 3.9204 15.0298 90.00 90.00 90.00
With the nearest neighbours (Å) after each atom.
Element x y z (fractional)
Er 0.2353 0.2500 0.0421  7 S 2.72-2.86
Er 0.2647 0.7500 0.5421  7 S 2.72-2.86
Er 0.7353 0.2500 0.4579  7 S 2.72-2.86
Er 0.7647 0.7500 0.9579  7 S 2.72-2.86
Pu 0.1395 0.7500 0.2932  7 S 2.74-2.97
Pu 0.3605 0.2500 0.7932  7 S 2.74-2.97
Pu 0.6395 0.7500 0.2068  7 S 2.74-2.97
Pu 0.8605 0.2500 0.7068  7 S 2.74-2.97
S 0.0111 0.7500 0.1057  3 Er 2.72-2.86, 1 Pu 2.97
S 0.1239 0.2500 0.4337  3 Er 2.75-2.85, 2 Pu 2.88, 1 S 3.03
S 0.1472 0.7500 0.7193  4 Pu 2.74-2.87, 1 Er 2.80, 1 S 3.03
S 0.3528 0.2500 0.2193  4 Pu 2.74-2.87, 1 Er 2.80, 1 S 3.03
S 0.3761 0.7500 0.9337  3 Er 2.75-2.85, 2 Pu 2.88, 1 S 3.03
S 0.4889 0.2500 0.6057  3 Er 2.72-2.86, 1 Pu 2.97
S 0.5111 0.7500 0.3943  3 Er 2.72-2.86, 1 Pu 2.97
S 0.6239 0.2500 0.0663  3 Er 2.75-2.85, 2 Pu 2.88, 1 S 3.03
S 0.6472 0.7500 0.7807  4 Pu 2.74-2.87, 1 Er 2.80, 1 S 3.03
S 0.8528 0.2500 0.2807  4 Pu 2.74-2.87, 1 Er 2.80, 1 S 3.03
S 0.8761 0.7500 0.5663  3 Er 2.75-2.85, 2 Pu 2.88, 1 S 3.03
S 0.9889 0.2500 0.8943  3 Er 2.72-2.86, 1 Pu 2.97

=====

Out of the structures above, which one is the most stable? Solution: b.